1.
Density functional theory data (PBE-GGA) for a geometry-optimized CaIr2Ru structure.

Cell lengths 4.9850, 4.9850, 5.0528 Å; angles 79.55, 79.55, 32.89 degrees
Atoms (fractional coordinates):
Ru  0.4826  0.4826  0.5525
Ca  0.2518  0.2518  0.2417
Ir  0.0157  0.0157  0.9701
Ir  0.7499  0.7499  0.7356

Computed properties:
Crystal system: monoclinic
Polymorph energy (0 for the lowest one), meV per atom: 105.6


2.
Density functional theory data (PBE-GGA) for a geometry-optimized Tb6Ce2Pm3Th structure.

Cell lengths 6.1871, 6.1871, 11.7790 Å; angles 95.03, 95.03, 120.01 degrees
Atoms (fractional coordinates):
Tb  0.9183  0.5862  0.7560
Tb  0.7497  0.7497  0.2440
Tb  0.0817  0.4138  0.2440
Tb  0.5862  0.9183  0.7560
Tb  0.2503  0.2503  0.7560
Tb  0.4138  0.0817  0.2440
Ce  0.3333  0.6667  0.0000
Ce  0.6667  0.3333  0.0000
Pm  0.1668  0.8332  0.5000
Pm  0.8332  0.1668  0.5000
Pm  0.5000  0.5000  0.5000
Th  0.0000  0.0000  0.0000

Computed properties:
Crystal system: monoclinic


3.
Density functional theory data (PBE-GGA) for a geometry-optimized Mg6ZnPb2 structure.

Cell lengths 3.7882, 7.9820, 7.9852 Å; angles 119.99, 90.00, 90.00 degrees
Atoms (fractional coordinates):
Mg  0.5000  0.6340  0.0000
Mg  0.5000  0.3659  0.3658
Mg  0.5000  0.0001  0.6342
Mg  0.0000  0.2502  0.0000
Mg  0.0000  0.7498  0.7499
Mg  0.0000  0.9999  0.2501
Zn  0.5000  0.0000  0.0000
Pb  0.0000  0.3333  0.6666
Pb  0.0000  0.6667  0.3334

Computed properties:
Crystal system: hexagonal


| no. | D(E_F) (states/eV per cell) | DFT formation energy (eV/atom) | volume (Å³ per cell) |
| --- | --- | --- | --- |
| 1 | 4.21 | 0.118 | 66.96 |
| 2 | 21.11 | 0.040 | 384.42 |
| 3 | 1.54 | -0.072 | 209.13 |